(1)
VASP calculation (GGA-PBE) on a relaxed structure of Ce2SiS5.

```
Ce2SiS5
1.0
11.3972 0.0000 0.0000
0.0000 8.5035 0.0000
-2.6355 0.0000 8.1036
Ce Si S
8 4 20
Direct
0.0287 0.1268 0.2336 Ce
0.0287 0.3732 0.7336 Ce
0.3775 0.1350 0.0499 Ce
0.3775 0.3650 0.5499 Ce
0.6225 0.6350 0.4501 Ce
0.6225 0.8650 0.9501 Ce
0.9713 0.6268 0.2664 Ce
0.9713 0.8732 0.7664 Ce
0.3033 0.5822 0.0224 Si
0.3033 0.9178 0.5224 Si
0.6967 0.0822 0.4776 Si
0.6967 0.4178 0.9776 Si
0.1123 0.1168 0.9435 S
0.1123 0.3832 0.4435 S
0.1126 0.6170 0.0002 S
0.1126 0.8830 0.5002 S
0.2925 0.0920 0.3330 S
0.2925 0.4080 0.8330 S
0.3746 0.7063 0.4639 S
0.3746 0.7937 0.9639 S
0.4128 0.0573 0.7259 S
0.4128 0.4427 0.2259 S
0.5872 0.5573 0.7741 S
0.5872 0.9427 0.2741 S
0.6254 0.2063 0.0361 S
0.6254 0.2937 0.5361 S
0.7075 0.5920 0.1670 S
0.7075 0.9080 0.6670 S
0.8874 0.1170 0.4998 S
0.8874 0.3830 0.9998 S
0.8877 0.6168 0.5565 S
0.8877 0.8832 0.0565 S
```

Properties
- space-group type = No. 14

(2)
VASP calculation (GGA-PBE) on a relaxed structure of CeSi2S8.

```
CeSi2S8
1.0
7.9924 -3.7048 0.0000
7.9924 3.7048 0.0000
-2.4105 0.0000 6.4472
Ce Si S
1 2 8
Direct
0.0000 0.0000 0.0000 Ce
0.1392 0.1392 0.7512 Si
0.8608 0.8608 0.2488 Si
0.1166 0.1166 0.4195 S
0.1310 0.6654 0.1333 S
0.2489 0.2489 0.6413 S
0.3346 0.8690 0.8667 S
0.6654 0.1310 0.1333 S
0.7511 0.7511 0.3587 S
0.8690 0.3346 0.8667 S
0.8834 0.8834 0.5805 S
```

Properties
- space-group type = No. 12

(3)
VASP calculation (GGA-PBE) on a relaxed structure of Ce2SiS5.

```
Ce2SiS5
1.0
7.5283 0.0000 0.0000
0.0000 12.5614 0.0000
-1.5514 0.0000 7.6900
Ce Si S
8 4 20
Direct
0.1609 0.1670 0.1357 Ce
0.1609 0.3330 0.6357 Ce
0.2379 0.5945 0.0447 Ce
0.2379 0.9055 0.5447 Ce
0.7621 0.0945 0.4553 Ce
0.7621 0.4055 0.9553 Ce
0.8391 0.6670 0.3643 Ce
0.8391 0.8330 0.8643 Ce
0.3311 0.6176 0.5964 Si
0.3311 0.8824 0.0964 Si
0.6689 0.1176 0.9036 Si
0.6689 0.3824 0.4036 Si
0.1255 0.7045 0.6957 S
0.1255 0.7955 0.1957 S
0.1374 0.1188 0.5001 S
0.1374 0.3812 0.0001 S
0.1753 0.5295 0.3864 S
0.1753 0.9705 0.8864 S
0.4198 0.0023 0.2839 S
0.4198 0.4977 0.7839 S
0.4722 0.2293 0.9477 S
0.4722 0.2707 0.4477 S
0.5278 0.7293 0.5523 S
0.5278 0.7707 0.0523 S
0.5802 0.5023 0.2161 S
0.5802 0.9977 0.7161 S
0.8247 0.0295 0.1136 S
0.8247 0.4705 0.6136 S
0.8626 0.6188 0.9999 S
0.8626 0.8812 0.4999 S
0.8745 0.2045 0.8043 S
0.8745 0.2955 0.3043 S
```

Properties
- space-group type = No. 14

(4)
VASP calculation (GGA-PBE) on a relaxed structure of CeSiS4.

```
CeSiS4
1.0
6.3823 0.0000 0.0000
0.0000 6.3823 0.0000
0.0000 0.0000 8.9843
Ce Si S
2 2 8
Direct
0.0000 0.0000 0.0000 Ce
0.0000 0.0000 0.5000 Ce
0.0000 0.5000 0.2500 Si
0.5000 0.0000 0.7500 Si
0.2123 0.3011 0.3677 S
0.2123 0.6989 0.1323 S
0.3011 0.2123 0.8677 S
0.3011 0.7877 0.6323 S
0.6989 0.2123 0.6323 S
0.6989 0.7877 0.8677 S
0.7877 0.3011 0.1323 S
0.7877 0.6989 0.3677 S
```

Properties
- space-group type = No. 112

(5)
VASP calculation (GGA-PBE) on a relaxed structure of Ce2SiS5.

```
Ce2SiS5
1.0
2.5825 -6.6273 0.0000
2.5825 6.6273 0.0000
0.0000 0.0000 12.6086
Ce Si S
4 2 10
Direct
0.1462 0.8538 0.5706 Ce
0.1462 0.8538 0.9294 Ce
0.8538 0.1462 0.0706 Ce
0.8538 0.1462 0.4294 Ce
0.1737 0.8263 0.2500 Si
0.8263 0.1737 0.7500 Si
0.0517 0.9483 0.1209 S
0.0517 0.9483 0.3791 S
0.2803 0.7197 0.7500 S
0.2928 0.7072 0.0951 S
0.2928 0.7072 0.4049 S
0.7072 0.2928 0.5951 S
0.7072 0.2928 0.9049 S
0.7197 0.2803 0.2500 S
0.9483 0.0517 0.6209 S
0.9483 0.0517 0.8791 S
```

Properties
- space-group type = No. 63

(6)
VASP calculation (GGA-PBE) on a relaxed structure of CeSiS4.

```
CeSiS4
1.0
-4.4236 4.4236 3.7385
4.4236 -4.4236 3.7385
4.4236 4.4236 -3.7385
Ce Si S
2 2 8
Direct
0.3750 0.6250 0.7500 Ce
0.6250 0.3750 0.2500 Ce
0.1250 0.8750 0.2500 Si
0.8750 0.1250 0.7500 Si
0.1179 0.6876 0.4303 S
0.2427 0.3124 0.9303 S
0.3124 0.2427 0.4303 S
0.3124 0.8821 0.0697 S
0.6876 0.1179 0.9303 S
0.6876 0.7573 0.5697 S
0.7573 0.6876 0.0697 S
0.8821 0.3124 0.5697 S
```

Properties
- space-group type = No. 141

(7)
VASP calculation (GGA-PBE) on a relaxed structure of CeSmSiS.

```
CeSmSiS
1.0
2.0629 1.1910 6.7219
-2.0629 1.1910 6.7219
0.0000 -2.3820 6.7219
Ce Sm Si S
1 1 1 1
Direct
0.0000 0.0000 0.0000 Ce
0.5010 0.5010 0.5010 Sm
0.7485 0.7485 0.7485 Si
0.2504 0.2504 0.2504 S
```

Properties
- space-group type = No. 160

(8)
VASP calculation (GGA-PBE) on a relaxed structure of TbCeSiS.

```
TbCeSiS
1.0
2.0433 1.1797 6.6577
-2.0433 1.1797 6.6577
0.0000 -2.3594 6.6577
Tb Ce Si S
1 1 1 1
Direct
0.0000 0.0000 0.0000 Tb
0.5007 0.5007 0.5007 Ce
0.7508 0.7508 0.7508 Si
0.2526 0.2526 0.2526 S
```

Properties
- space-group type = No. 160

(9)
VASP calculation (GGA-PBE) on a relaxed structure of Ce4SiTeS2.

```
Ce4SiTeS2
1.0
7.2255 0.0000 0.0000
0.0000 4.1686 0.0000
-2.4027 0.0000 6.8931
Ce Si Te S
4 1 1 2
Direct
0.2257 0.0000 0.2280 Ce
0.2365 0.5000 0.7582 Ce
0.7635 0.5000 0.2418 Ce
0.7743 0.0000 0.7720 Ce
0.5000 0.0000 0.0000 Si
0.5000 0.5000 0.5000 Te
0.0000 0.0000 0.5000 S
0.0000 0.5000 0.0000 S
```

Properties
- space-group type = No. 10

(10)
VASP calculation (GGA-PBE) on a relaxed structure of CeThSiS.

```
CeThSiS
1.0
2.0859 1.2043 6.6644
-2.0859 1.2043 6.6644
0.0000 -2.4086 6.6644
Ce Th Si S
1 1 1 1
Direct
0.0000 0.0000 0.0000 Ce
0.5018 0.5018 0.5018 Th
0.7493 0.7493 0.7493 Si
0.2521 0.2521 0.2521 S
```

Properties
- space-group type = No. 160

(11)
VASP calculation (GGA-PBE) on a relaxed structure of CeTlSiS4.

```
CeTlSiS4
1.0
6.5954 0.0000 0.0000
0.0000 6.5808 0.0000
-2.5778 0.0000 8.4548
Ce Tl Si S
2 2 2 8
Direct
0.2357 0.2500 0.0536 Ce
0.7643 0.7500 0.9464 Ce
0.2624 0.2500 0.5694 Tl
0.7376 0.7500 0.4306 Tl
0.2165 0.7500 0.8198 Si
0.7835 0.2500 0.1802 Si
0.0050 0.0029 0.7816 S
0.0050 0.4971 0.7816 S
0.3985 0.7500 0.0640 S
0.4106 0.7500 0.6673 S
0.5894 0.2500 0.3327 S
0.6015 0.2500 0.9360 S
0.9950 0.5029 0.2184 S
0.9950 0.9971 0.2184 S
```

Properties
- space-group type = No. 11

(12)
VASP calculation (GGA-PBE) on a relaxed structure of CeSm4S7.

```
CeSm4S7
1.0
6.6382 -1.9542 0.0000
6.6382 1.9542 0.0000
-3.0330 0.0000 11.4515
Ce Sm S
1 4 7
Direct
0.0000 0.0000 0.0000 Ce
0.1121 0.1121 0.4215 Sm
0.2244 0.2244 0.8405 Sm
0.4127 0.4127 0.6098 Sm
0.8121 0.8121 0.2337 Sm
0.0687 0.0687 0.6357 S
0.1559 0.1559 0.2069 S
0.3703 0.3703 0.0698 S
0.4535 0.4535 0.3704 S
0.6125 0.6125 0.9187 S
0.7714 0.7714 0.4715 S
0.8514 0.8514 0.7704 S
```

Properties
- space-group type = No. 8

| no. | calculated volume (Å³ per atom) | formation energy from raw total energies (eV per atom) |
| --- | --- | --- |
| 1 | 24.54 | -1.466 |
| 2 | 34.71 | -0.561 |
| 3 | 22.73 | -1.505 |
| 4 | 30.50 | -0.950 |
| 5 | 26.97 | -1.264 |
| 6 | 24.39 | -1.147 |
| 7 | 24.77 | -1.329 |
| 8 | 24.07 | -1.333 |
| 9 | 25.95 | -1.482 |
| 10 | 25.11 | -1.293 |
| 11 | 26.21 | -1.141 |
| 12 | 24.76 | -2.034 |